Entry 1:
This record from the Alexandria database describes a relaxed Ti6FeSn crystal. The functional is PBE-GGA.

Calculated values
E_form   5.5 kcal/mol of atoms
DOS(E_F)   20.3 states/eV per cell
E   -7.24 eV/atom

```
data_Ti6FeSn
_chemical_formula_sum 'Ti12 Fe2 Sn2'
_space_group_name_H-M_alt 'C 1 2/m 1'
_space_group_IT_number 12
_space_group_name_Hall '-C 2y'
_cell_length_a 5.821
_cell_length_b 9.789
_cell_length_c 5.726
_cell_angle_alpha 90.00
_cell_angle_beta 118.64
_cell_angle_gamma 90.00
loop_
_atom_site_label
_atom_site_type_symbol
_atom_site_fract_x
_atom_site_fract_y
_atom_site_fract_z
_atom_site_occupancy
Ti1 Ti 0.222 0.223 0.232 1
Ti2 Ti 0.228 0.000 0.788 1
Fe1 Fe 0.000 0.000 0.000 1
Sn1 Sn 0.000 0.500 0.500 1
```



Entry 2:
This record from the Alexandria database describes a relaxed TlZnFe2Br8 crystal. The functional is PBE-GGA.

Calculated values
DOS(E_F)   14.9 states/eV per cell
E   -3.42 eV/atom

```
data_TlZnFe2Br8
_chemical_formula_sum 'Tl2 Zn2 Fe4 Br16'
_space_group_name_H-M_alt 'C 1 2/m 1'
_space_group_IT_number 12
_space_group_name_Hall '-C 2y'
_cell_length_a 10.913
_cell_length_b 7.609
_cell_length_c 9.641
_cell_angle_alpha 90.00
_cell_angle_beta 95.20
_cell_angle_gamma 90.00
loop_
_atom_site_label
_atom_site_type_symbol
_atom_site_fract_x
_atom_site_fract_y
_atom_site_fract_z
_atom_site_occupancy
Tl1 Tl 0.000 0.000 0.000 1
Zn1 Zn 0.000 0.000 0.500 1
Fe1 Fe 0.123 0.500 0.286 1
Br1 Br 0.011 0.246 0.704 1
Br2 Br 0.199 0.500 0.066 1
Br3 Br 0.238 0.000 0.506 1
```



Entry 3:
This record from the Alexandria database describes a relaxed DyTaCo2 crystal. The functional is PBE-GGA.

Calculated values
E_form   -0.5 kcal/mol of atoms
DOS(E_F)   3.6 states/eV per cell
E   -7.69 eV/atom

```
data_DyTaCo2
_chemical_formula_sum 'Dy1 Ta1 Co2'
_space_group_name_H-M_alt 'P 4/m m m'
_space_group_IT_number 123
_space_group_name_Hall '-P 4 2'
_cell_length_a 4.592
_cell_length_b 4.592
_cell_length_c 3.049
_cell_angle_alpha 90.00
_cell_angle_beta 90.00
_cell_angle_gamma 90.00
loop_
_atom_site_label
_atom_site_type_symbol
_atom_site_fract_x
_atom_site_fract_y
_atom_site_fract_z
_atom_site_occupancy
Dy1 Dy 0.000 0.000 0.000 1
Ta1 Ta 0.500 0.500 0.000 1
Co1 Co 0.000 0.500 0.500 1
```



Entry 4:
This record from the Alexandria database describes a relaxed Ca2EuCd crystal. The functional is PBE-GGA.

Calculated values
E_form   -2.4 kcal/mol of atoms
DOS(E_F)   10.6 states/eV per cell
E   -3.90 eV/atom

```
data_Ca2EuCd
_chemical_formula_sum 'Ca2 Eu1 Cd1'
_space_group_name_H-M_alt 'P 4/m m m'
_space_group_IT_number 123
_space_group_name_Hall '-P 4 2'
_cell_length_a 5.106
_cell_length_b 5.106
_cell_length_c 5.337
_cell_angle_alpha 90.00
_cell_angle_beta 90.00
_cell_angle_gamma 90.00
loop_
_atom_site_label
_atom_site_type_symbol
_atom_site_fract_x
_atom_site_fract_y
_atom_site_fract_z
_atom_site_occupancy
Ca1 Ca 0.000 0.500 0.000 1
Eu1 Eu 0.000 0.000 0.500 1
Cd1 Cd 0.500 0.500 0.500 1
```